(1)
Cd5AgAu6: relaxed, GGA-PBE.

Computed properties:
- Energy relative to the elements: -1.8 eV/f.u.
- SG: Immm (71)

```
12
Lattice="-2.206 3.920 6.636 2.206 -3.920 6.636 2.206 3.920 -6.636" Properties=species:S:1:pos:R:3 pbc="T T T"
Cd 0.000 0.000 0.000
Cd 2.206 0.000 2.246
Cd 0.000 0.000 4.495
Cd 0.000 0.000 8.778
Cd 0.000 3.920 4.390
Ag 0.000 3.920 0.000
Au 2.206 -1.968 4.429
Au 2.206 1.935 0.000
Au 0.000 1.952 2.208
Au 2.206 1.968 4.429
Au 0.000 1.985 6.636
Au 0.000 5.888 2.208
```

=====

(2)
RbMgZr2Te: relaxed, GGA-PBE.

Computed properties:
- ΔE_f (raw): 1.7962 eV/atom
- SG: P4/mmm (123)

```
5
Lattice="5.184 0.000 0.000 0.000 5.184 0.000 0.000 0.000 5.397" Properties=species:S:1:pos:R:3 pbc="T T T"
Rb 0.000 0.000 0.000
Mg 0.000 0.000 2.698
Zr 0.000 2.592 0.000
Zr 2.592 0.000 0.000
Te 2.592 2.592 2.698
```

=====

(3)
CuGe2F8: relaxed, GGA-PBE.

Computed properties:
- ΔE_f (raw): -1.9137 eV/atom
- Excess energy over the best structure of this formula in the dataset: 21 meV/atom
- SG: C2/m (12)

```
11
Lattice="4.663 -3.188 0.000 4.663 3.188 0.000 -0.694 0.000 5.035" Properties=species:S:1:pos:R:3 pbc="T T T"
Cu 0.000 0.000 0.000
Ge 2.227 0.000 2.623
Ge 6.405 0.000 2.412
F 2.845 1.853 3.389
F 0.952 0.000 4.023
F 5.787 1.853 1.647
F 3.515 0.000 1.379
F 5.117 0.000 3.657
F 2.845 -1.853 3.389
F 7.680 0.000 1.013
F 5.787 -1.853 1.647
```

=====

(4)
CoAsPd3: relaxed, GGA-PBE.

Computed properties:
- Energy relative to the elements: 2.7 eV/f.u.
- Excess energy over the best structure of this formula in the dataset: 0 meV/atom
- SG: Pm-3m (221)

```
5
Lattice="4.612 0.000 0.000 0.000 4.612 0.000 0.000 0.000 4.612" Properties=species:S:1:pos:R:3 pbc="T T T"
Co 0.000 0.000 0.000
As 2.306 2.306 2.306
Pd 0.000 2.306 2.306
Pd 2.306 0.000 2.306
Pd 2.306 2.306 0.000
```

=====

(5)
Tb12PrTl6: relaxed, GGA-PBE.

Computed properties:
- Energy relative to the elements: -0.2 eV/f.u.
- SG: R-3m (166)

```
19
Lattice="7.004 4.044 3.773 -7.004 4.044 3.773 0.000 -8.088 3.773" Properties=species:S:1:pos:R:3 pbc="T T T"
Tb -2.622 -3.547 3.773
Tb -4.383 -0.497 3.773
Tb 0.000 -2.158 1.604
Tb -1.869 1.079 1.604
Tb 1.869 1.079 1.604
Tb 2.622 -3.547 3.773
Tb -1.761 4.044 3.773
Tb 4.383 -0.497 3.773
Tb 1.761 4.044 3.773
Tb -1.869 -1.079 9.715
Tb 1.869 -1.079 9.715
Tb 0.000 2.158 9.715
Pr 0.000 0.000 5.660
Tl -3.815 -2.203 6.328
Tl 0.000 -4.405 4.991
Tl -3.815 2.203 4.991
Tl 3.815 -2.203 6.328
Tl 0.000 4.405 6.328
Tl 3.815 2.203 4.991
```

=====

(6)
SrCa2Dy: relaxed, GGA-PBE.

Computed properties:
- Energy relative to the elements: 0.5 eV/f.u.
- Excess energy over the best structure of this formula in the dataset: 13 meV/atom
- SG: R-3m (166)

```
4
Lattice="1.927 1.112 12.794 -1.927 1.112 12.794 0.000 -2.225 12.794" Properties=species:S:1:pos:R:3 pbc="T T T"
Sr 0.000 0.000 0.000
Ca 0.000 0.000 9.390
Ca 0.000 0.000 28.992
Dy 0.000 0.000 19.191
```